(1)
Tm3Tl4CuTe8 | PBE | optimized geometry

Computed properties:
Density in Mg/m³: 7.6
Symmetry: No. 12

Cell: 8.750 8.750 9.421 Å, 117.73 117.73 59.88°
Atoms (fractional coordinates):
Tm1 0.000 0.000 0.000
Tm2 0.000 0.500 0.000
Tm3 0.500 0.000 0.000
Tl1 0.000 0.000 0.500
Tl2 0.000 0.500 0.500
Tl3 0.500 0.000 0.500
Tl4 0.500 0.500 0.500
Cu1 0.500 0.500 0.000
Te1 0.239 0.239 0.216
Te2 0.250 0.726 0.203
Te3 0.270 0.270 0.793
Te4 0.274 0.750 0.797
Te5 0.726 0.250 0.203
Te6 0.730 0.730 0.207
Te7 0.750 0.274 0.797
Te8 0.761 0.761 0.784


(2)
TmTl2Cu2Te4 | PBE | optimized geometry

Computed properties:
Density in Mg/m³: 7.6
Symmetry: No. 12

Cell: 8.080 8.080 8.560 Å, 108.15 108.15 30.00°
Atoms (fractional coordinates):
Tm1 0.000 0.000 0.000
Tl1 0.131 0.131 0.554
Tl2 0.869 0.869 0.446
Cu1 0.314 0.314 0.008
Cu2 0.686 0.686 0.992
Te1 0.203 0.203 0.189
Te2 0.476 0.476 0.239
Te3 0.524 0.524 0.761
Te4 0.797 0.797 0.811


(3)
Tm2TlCuTe4 | PBE | optimized geometry

Computed properties:
Density in Mg/m³: 7.5
Symmetry: No. 63

Cell: 7.757 7.757 15.273 Å, 90.00 90.00 147.63°
Atoms (fractional coordinates):
Tm1 0.134 0.866 0.567
Tm2 0.134 0.866 0.933
Tm3 0.866 0.134 0.067
Tm4 0.866 0.134 0.433
Tl1 0.382 0.618 0.750
Tl2 0.618 0.382 0.250
Cu1 0.341 0.659 0.250
Cu2 0.659 0.341 0.750
Te1 0.059 0.941 0.750
Te2 0.232 0.768 0.112
Te3 0.232 0.768 0.388
Te4 0.500 0.500 0.000
Te5 0.500 0.500 0.500
Te6 0.768 0.232 0.612
Te7 0.768 0.232 0.888
Te8 0.941 0.059 0.250


| no. | E (eV/atom) |
| --- | --- |
| 1 | -3.985 |
| 2 | -3.860 |
| 3 | -4.428 |